[1]
Compound: CsCuF4
Source: Alexandria
Functional: PBE
Structure: optimized geometry

Cell: 5.594 5.594 6.340 Å, 90.00 90.00 90.00°
Positions (direct):
Cs: 0.000 0.500 0.000
Cs: 0.500 0.000 0.000
Cu: 0.000 0.000 0.500
Cu: 0.500 0.500 0.500
F: 0.000 0.000 0.212
F: 0.000 0.000 0.788
F: 0.249 0.251 0.500
F: 0.251 0.751 0.500
F: 0.500 0.500 0.212
F: 0.500 0.500 0.788
F: 0.749 0.249 0.500
F: 0.751 0.749 0.500

Results
The crystal system is tetragonal. Its total magnetization is 0.000 Bohr magnetons per cell.

[2]
Compound: Cs3Ac2YTe6
Source: Alexandria
Functional: PBE
Structure: optimized geometry

Cell: 8.302 8.302 9.389 Å, 98.50 98.50 120.00°
Positions (direct):
Cs: 0.000 0.000 0.000
Cs: 0.330 0.670 0.000
Cs: 0.670 0.330 0.000
Ac: 0.166 0.834 0.500
Ac: 0.834 0.166 0.500
Y: 0.500 0.500 0.500
Te: 0.119 0.434 0.303
Te: 0.251 0.251 0.698
Te: 0.434 0.119 0.303
Te: 0.566 0.881 0.697
Te: 0.749 0.749 0.302
Te: 0.881 0.566 0.697

Results
The crystal system is monoclinic. Its total magnetization is 0.000 Bohr magnetons per cell.

Number 1: calculated total energy -48.048 eV for the cell shown. Number 2: calculated total energy -53.646 eV for the cell shown.